28
Lattice="5.174 0.000 0.000 1.662 7.737 0.000 0.451 0.274 8.766" Properties=species:S:1:pos:R:3 comment="LiCoPO4, relaxed, DFT GGA+U" spacegroup=P-1 final_energy_ev_per_fu=-46.24 e_above_lowest_polymorph_kj_per_mol_fu=27.5 magnetic_moment_mub_per_cell=12.001 pbc="T T T"
Li 1.535 3.676 1.325
Li 2.591 7.290 2.325
Li 4.695 0.721 6.441
Li 5.752 4.335 7.441
Co 2.607 5.518 5.162
Co 2.331 1.648 8.291
Co 4.956 6.362 0.475
Co 4.679 2.493 3.604
P 2.022 2.450 5.370
P 2.977 6.333 8.079
P 4.310 1.678 0.687
P 5.264 5.561 3.396
O 1.518 6.166 3.612
O 1.444 5.242 0.091
O 2.386 6.785 6.722
O 1.854 3.877 5.997
O 2.939 7.283 0.214
O 2.777 2.533 4.034
O 2.807 1.555 6.378
O 2.998 2.488 0.834
O 4.289 5.523 7.931
O 4.479 6.456 2.387
O 4.509 5.478 4.732
O 4.348 0.728 8.552
O 5.433 4.134 2.769
O 4.901 1.226 2.044
O 5.843 2.769 8.675
O 5.768 1.845 5.154